# 1
Compound: Ca2SiF
Source: Alexandria
Functional: PBE
Structure: relaxed

Computed properties:
Formation energy (no corrections) ... -1.148 eV/atom
Magnetization ... 4.00 μB per cell
Theoretical density ... 2389 kg/m³
Calculated volume ... 22.11 Å³/atom
E above lowest polymorph ... 277 meV per atom

a b c (Å): 7.0729 7.0729 7.0729
angles (deg): 90.00 90.00 90.00
Space group Fm-3m (No. 225)
Unique sites:
Ca  0.2500  0.2500  0.2500 (multiplicity 8)
Si  0.0000  0.0000  0.0000 (multiplicity 4)
F  0.0000  0.0000  0.5000 (multiplicity 4)

=====

# 2
Compound: SbSe3N
Source: Alexandria
Functional: PBE
Structure: relaxed

Computed properties:
Formation energy (no corrections) ... 1.473 eV/atom
Magnetization ... 2.53 μB per cell
Theoretical density ... 3998 kg/m³
Calculated volume ... 30.95 Å³/atom
E above lowest polymorph ... 702 meV per atom

a b c (Å): 5.3689 5.3689 5.3689
angles (deg): 90.00 90.00 90.00
Space group Pm-3m (No. 221)
Unique sites:
Sb  0.0000  0.0000  0.0000 (multiplicity 1)
Se  0.0000  0.0000  0.5000 (multiplicity 3)
N  0.5000  0.5000  0.5000 (multiplicity 1)

=====

# 3
Compound: TcPt2Br
Source: Alexandria
Functional: PBE
Structure: relaxed

Computed properties:
Formation energy (no corrections) ... 0.710 eV/atom
Magnetization ... 0.00 μB per cell
Theoretical density ... 14103 kg/m³
Calculated volume ... 16.72 Å³/atom
E above lowest polymorph ... 499 meV per atom

a b c (Å): 2.8222 4.8121 5.4211
angles (deg): 65.30 89.92 89.91
Space group P-1 (No. 2)
Unique sites:
Tc  0.0000  0.0000  0.0000 (multiplicity 1)
Pt  0.5000  0.5000  0.0000 (multiplicity 1)
Pt  0.5000  0.5000  0.5000 (multiplicity 1)
Br  0.0000  0.0000  0.5000 (multiplicity 1)

=====

# 4
Compound: K2SnRu
Source: Alexandria
Functional: PBE
Structure: relaxed

Computed properties:
Formation energy from the elements ... 53.0 kJ per mole of atoms
Magnetization ... 2.71 μB per cell
Theoretical density ... 2425 kg/m³
Calculated volume ... 51.01 Å³/atom

a b c (Å): 12.7696 12.7696 5.0057
angles (deg): 90.00 90.00 90.00
Space group I-42d (No. 122)
Unique sites:
K  0.0070  0.2500  0.1250 (multiplicity 8)
Sn  0.0000  0.0000  0.5000 (multiplicity 4)
Ru  0.0000  0.0000  0.0000 (multiplicity 4)

=====

# 5
Compound: RbCdAu
Source: Alexandria
Functional: PBE
Structure: relaxed

Computed properties:
Formation energy from the elements ... -21.9 kJ per mole of atoms
Magnetization ... 0.00 μB per cell
Theoretical density ... 6337 kg/m³
Calculated volume ... 34.49 Å³/atom
E above lowest polymorph ... 0 meV per atom

a b c (Å): 4.9024 4.9024 4.9705
angles (deg): 90.00 90.00 120.00
Space group P-6m2 (No. 187)
Unique sites:
Rb  0.0000  0.0000  0.0000 (multiplicity 1)
Cd  0.6667  0.3333  0.5000 (multiplicity 1)
Au  0.3333  0.6667  0.5000 (multiplicity 1)

=====

# 6
Compound: MnNi2Pt
Source: Alexandria
Functional: PBE
Structure: relaxed

Computed properties:
Formation energy from the elements ... 14.1 kJ per mole of atoms
Magnetization ... 0.02 μB per cell
Theoretical density ... 12533 kg/m³
Calculated volume ... 12.17 Å³/atom

a b c (Å): 5.7960 5.7960 5.7960
angles (deg): 90.00 90.00 90.00
Space group Fm-3m (No. 225)
Unique sites:
Mn  0.0000  0.0000  0.0000 (multiplicity 4)
Ni  0.2500  0.2500  0.2500 (multiplicity 8)
Pt  0.0000  0.0000  0.5000 (multiplicity 4)

=====

# 7
Compound: Sr4Sn2Hg5
Source: Alexandria
Functional: PBE
Structure: relaxed

Computed properties:
Formation energy from the elements ... -45.6 kJ per mole of atoms
Magnetization ... 0.00 μB per cell
Theoretical density ... 7481 kg/m³
Calculated volume ... 32.10 Å³/atom

a b c (Å): 8.4910 4.1827 9.9740
angles (deg): 90.00 94.50 90.00
Space group P2/m (No. 10)
Unique sites:
Sr  0.2290  0.0000  0.1420 (multiplicity 2)
Sr  0.2577  0.0000  0.6334 (multiplicity 2)
Sn  0.0736  0.5000  0.3749 (multiplicity 2)
Hg  0.1252  0.5000  0.8890 (multiplicity 2)
Hg  0.4275  0.5000  0.3613 (multiplicity 2)
Hg  0.5000  0.5000  0.0000 (multiplicity 1)

=====

# 8
Compound: Na5HgSb2
Source: Alexandria
Functional: PBE
Structure: relaxed

Computed properties:
Formation energy (no corrections) ... -0.318 eV/atom
Magnetization ... 0.00 μB per cell
Theoretical density ... 3746 kg/m³
Calculated volume ... 30.98 Å³/atom

a b c (Å): 5.3934 5.3934 19.6744
angles (deg): 90.00 90.00 120.00
Space group P6_3/mmc (No. 194)
Unique sites:
Na  0.0000  0.0000  0.1432 (multiplicity 4)
Na  0.3333  0.6667  0.0553 (multiplicity 4)
Na  0.3333  0.6667  0.2500 (multiplicity 2)
Hg  0.3333  0.6667  0.7500 (multiplicity 2)
Sb  0.3333  0.6667  0.6094 (multiplicity 4)

=====

# 9
Compound: NaLa2MgRh
Source: Alexandria
Functional: PBE
Structure: relaxed

Computed properties:
Formation energy from the elements ... -27.2 kJ per mole of atoms
Magnetization ... 0.00 μB per cell
Theoretical density ... 4336 kg/m³
Calculated volume ... 32.78 Å³/atom

a b c (Å): 5.5401 5.5401 5.3403
angles (deg): 90.00 90.00 90.00
Space group P4/mmm (No. 123)
Unique sites:
Na  0.0000  0.0000  0.0000 (multiplicity 1)
La  0.0000  0.5000  0.5000 (multiplicity 2)
Mg  0.5000  0.5000  0.0000 (multiplicity 1)
Rh  0.5000  0.5000  0.5000 (multiplicity 1)

=====

# 10
Compound: SrEu3Ru
Source: Alexandria
Functional: PBE
Structure: relaxed

Computed properties:
Formation energy from the elements ... 2.5 kJ per mole of atoms
Magnetization ... 21.15 μB per cell
Theoretical density ... 5867 kg/m³
Calculated volume ... 36.48 Å³/atom

a b c (Å): 5.6714 5.6714 5.6714
angles (deg): 90.00 90.00 90.00
Space group Pm-3m (No. 221)
Unique sites:
Sr  0.0000  0.0000  0.0000 (multiplicity 1)
Eu  0.0000  0.5000  0.5000 (multiplicity 3)
Ru  0.5000  0.5000  0.5000 (multiplicity 1)

=====

# 11
Compound: Rb4ZrPa3N8
Source: Alexandria
Functional: PBE
Structure: relaxed

Computed properties:
Formation energy (no corrections) ... -1.008 eV/atom
Magnetization ... 0.00 μB per cell
Theoretical density ... 6950 kg/m³
Calculated volume ... 18.49 Å³/atom

a b c (Å): 7.1135 7.1135 20.2519
angles (deg): 90.00 90.00 120.00
Space group R-3m (No. 166, hexagonal axes)
Unique sites:
Rb  0.0000  0.0000  0.0000 (multiplicity 3)
Rb  0.0000  0.5000  0.0000 (multiplicity 9)
Zr  0.0000  0.0000  0.5000 (multiplicity 3)
Pa  0.0000  0.5000  0.5000 (multiplicity 9)
N  0.0000  0.0000  0.2185 (multiplicity 6)
N  0.0012  0.5006  0.2185 (multiplicity 18)

=====

# 12
Compound: AcPm5Pb5
Source: Alexandria
Functional: PBE
Structure: relaxed

Computed properties:
Formation energy from the elements ... -29.1 kJ per mole of atoms
Magnetization ... 1.24 μB per cell
Theoretical density ... 8131 kg/m³
Calculated volume ... 36.91 Å³/atom

a b c (Å): 14.5667 6.4936 8.9960
angles (deg): 90.00 107.41 90.00
Space group C2/m (No. 12)
Unique sites:
Ac  0.0000  0.0000  0.0000 (multiplicity 2)
Pm  0.0000  0.0000  0.5000 (multiplicity 2)
Pm  0.1596  0.5000  0.3358 (multiplicity 4)
Pm  0.1710  0.5000  0.8378 (multiplicity 4)
Pb  0.0000  0.5000  0.0000 (multiplicity 2)
Pb  0.1697  0.0000  0.3473 (multiplicity 4)
Pb  0.1705  0.0000  0.8191 (multiplicity 4)